Entry 1:
A PBEsol-optimized structure of ScTcAs3, computed with SCAN.

Geometry as POSCAR:
```
ScTcAs3
1.0
4.937 0.000 0.000
0.000 4.937 0.000
0.000 0.000 4.937
As Tc Sc
3 1 1
Direct
0.000 0.000 0.500
0.000 0.500 0.000
0.500 0.000 0.000
0.500 0.500 0.500
0.000 0.000 0.000
```

Output
* E_form: 406 kJ/mol of formula units
* crystal system: cubic
* symmetry: Pm-3m
* size of the total moment: 0.784 μB per atom

---

Entry 2:
A PBEsol-optimized structure of Ti4CrBi2, computed with SCAN.

Geometry as POSCAR:
```
Ti4CrBi2
1.0
-2.838 1.887 -3.693
-1.766 -5.695 -4.972
-7.471 -0.566 2.033
Bi Ti Cr
4 8 2
Direct
0.361 0.777 0.500
0.861 0.500 0.777
0.639 0.223 0.500
0.139 0.500 0.223
0.920 0.888 0.273
0.307 0.112 0.273
0.080 0.112 0.727
0.807 0.273 0.112
0.693 0.888 0.727
0.420 0.273 0.888
0.580 0.727 0.112
0.193 0.727 0.888
0.750 0.000 0.000
0.250 0.000 0.000
```

Output
* E_form: -179 kJ/mol of formula units
* crystal system: tetragonal
* symmetry: I4/mcm
* size of the total moment: 0.000 μB per atom

---

Entry 3:
A PBEsol-optimized structure of AsRuW2, computed with SCAN.

Geometry as POSCAR:
```
AsRuW2
1.0
-0.876 0.389 -2.622
-2.418 -3.263 0.324
-3.555 2.899 2.661
Ru As W
1 1 2
Direct
0.500 0.500 0.500
0.500 0.500 0.000
0.955 0.000 0.249
0.045 0.000 0.751
```

Output
* E_form: 87 kJ/mol of formula units
* crystal system: monoclinic
* symmetry: P2/m
* size of the total moment: 0.000 μB per atom

---

Entry 4:
A PBEsol-optimized structure of ScTaSeN2, computed with SCAN.

Geometry as POSCAR:
```
ScTaSeN2
1.0
3.989 0.000 0.000
0.000 3.989 0.000
0.000 0.000 5.085
Sc Ta N Se
1 1 2 1
Direct
0.500 0.500 0.500
0.000 0.000 0.000
0.500 0.000 0.000
0.000 0.500 0.000
0.000 0.000 0.500
```

Output
* relative energy among the computed polymorphs: 0 meV per atom
* E_form (uncorrected): -0.567 eV/atom
* crystal system: tetragonal
* symmetry: P4/mmm
* size of the total moment: 0.000 μB per atom

---

Entry 5:
A PBEsol-optimized structure of FeRu2Cl, computed with SCAN.

Geometry as POSCAR:
```
FeRu2Cl
1.0
2.771 0.000 0.000
0.000 4.387 0.000
-1.386 -2.193 4.349
Cl Ru Fe
1 2 1
Direct
0.500 0.000 0.000
0.774 0.774 0.548
0.226 0.226 0.452
0.000 0.500 0.000
```

Output
* relative energy among the computed polymorphs: 373 meV per atom
* E_form (uncorrected): 0.670 eV/atom
* crystal system: orthorhombic
* symmetry: Immm
* size of the total moment: 0.837 μB per atom

---

Entry 6:
A PBEsol-optimized structure of CoTe2O5, computed with SCAN.

Geometry as POSCAR:
```
CoTe2O5
1.0
-3.089 4.224 6.730
6.254 -3.161 4.855
7.332 10.019 -2.923
O Co Te
40 8 16
Direct
0.232 0.378 0.298
0.806 0.306 0.000
0.306 0.194 0.000
0.924 0.637 0.117
0.637 0.924 0.617
0.268 0.878 0.298
0.768 0.622 0.298
0.622 0.768 0.798
0.194 0.694 0.000
0.363 0.076 0.617
0.306 0.806 0.500
0.924 0.363 0.383
0.378 0.768 0.702
0.268 0.122 0.202
0.878 0.268 0.798
0.378 0.232 0.798
0.424 0.863 0.117
0.806 0.694 0.500
0.576 0.863 0.383
0.694 0.806 0.000
0.194 0.306 0.500
0.576 0.137 0.117
0.122 0.268 0.702
0.622 0.232 0.702
0.076 0.363 0.117
0.694 0.194 0.500
0.768 0.378 0.202
0.732 0.878 0.202
0.878 0.732 0.702
0.732 0.122 0.298
0.122 0.732 0.798
0.424 0.137 0.383
0.637 0.076 0.883
0.863 0.576 0.883
0.363 0.924 0.883
0.232 0.622 0.202
0.137 0.424 0.883
0.076 0.637 0.383
0.137 0.576 0.617
0.863 0.424 0.617
0.500 0.000 0.250
0.500 0.000 0.750
0.000 0.500 0.000
0.000 0.500 0.500
0.000 0.500 0.250
0.500 0.000 0.000
0.000 0.500 0.750
0.500 0.000 0.500
0.679 0.706 0.634
0.794 0.179 0.134
0.206 0.179 0.366
0.821 0.794 0.866
0.321 0.706 0.866
0.706 0.679 0.134
0.179 0.794 0.634
0.206 0.821 0.134
0.679 0.294 0.866
0.294 0.321 0.134
0.706 0.321 0.366
0.821 0.206 0.634
0.794 0.821 0.366
0.321 0.294 0.634
0.294 0.679 0.366
0.179 0.206 0.866
```

Output
* E_form (uncorrected): -1.117 eV/atom
* crystal system: tetragonal
* symmetry: P4_2/nbc
* size of the total moment: 0.375 μB per atom

---

Entry 7:
A PBEsol-optimized structure of Sr2SiAuI, computed with SCAN.

Geometry as POSCAR:
```
Sr2SiAuI
1.0
5.175 0.000 0.000
0.000 6.062 0.000
0.000 0.000 6.062
Sr I Au Si
2 1 1 1
Direct
0.000 0.500 0.000
0.000 0.000 0.500
0.000 0.000 0.000
0.500 0.500 0.500
0.500 0.000 0.000
```

Output
* E_form (uncorrected): 0.236 eV/atom
* crystal system: tetragonal
* symmetry: P4/mmm
* size of the total moment: 0.000 μB per atom

---

Entry 8:
A PBEsol-optimized structure of LaFe2RuW, computed with SCAN.

Geometry as POSCAR:
```
LaFe2RuW
1.0
-1.952 4.178 -0.538
-4.123 -1.774 1.188
0.865 0.979 4.463
W Fe La Ru
1 2 1 1
Direct
0.000 0.000 0.500
0.500 0.000 0.000
0.000 0.500 0.000
0.500 0.500 0.500
0.000 0.000 0.000
```

Output
* E_form: 391 kJ/mol of formula units
* crystal system: tetragonal
* symmetry: P4/mmm
* size of the total moment: 1.228 μB per atom

---

Entry 9:
A PBEsol-optimized structure of SrZrReF2, computed with SCAN.

Geometry as POSCAR:
```
SrZrReF2
1.0
-3.039 -0.875 -3.113
-0.700 -3.993 1.806
-3.567 1.952 2.934
Sr F Zr Re
1 2 1 1
Direct
0.500 0.500 0.500
0.000 0.500 0.000
0.500 0.000 0.000
0.000 0.000 0.500
0.000 0.000 0.000
```

Output
* E_form (uncorrected): -0.196 eV/atom
* crystal system: tetragonal
* symmetry: P4/mmm
* size of the total moment: 0.000 μB per atom

---

Entry 10:
A PBEsol-optimized structure of TbMgB5O10, computed with SCAN.

Geometry as POSCAR:
```
TbMgB5O10
1.0
7.585 0.000 0.000
0.000 8.518 0.021
0.000 0.580 9.351
O B Mg Tb
40 20 4 4
Direct
0.034 0.314 0.373
0.372 0.181 0.491
0.027 0.915 0.852
0.209 0.537 0.270
0.910 0.491 0.198
0.090 0.509 0.802
0.527 0.585 0.648
0.051 0.257 0.626
0.791 0.463 0.730
0.350 0.820 0.634
0.966 0.686 0.627
0.410 0.009 0.302
0.291 0.037 0.770
0.128 0.681 0.991
0.150 0.320 0.134
0.394 0.677 0.417
0.106 0.177 0.917
0.872 0.319 0.009
0.730 0.045 0.979
0.973 0.085 0.148
0.466 0.814 0.873
0.850 0.680 0.866
0.851 0.007 0.574
0.949 0.743 0.374
0.590 0.991 0.698
0.473 0.415 0.352
0.351 0.493 0.926
0.709 0.963 0.230
0.628 0.819 0.509
0.650 0.180 0.366
0.149 0.993 0.426
0.894 0.823 0.083
0.551 0.243 0.874
0.770 0.545 0.479
0.606 0.323 0.583
0.534 0.186 0.127
0.649 0.507 0.074
0.270 0.955 0.021
0.230 0.455 0.521
0.449 0.757 0.126
0.424 0.917 0.743
0.076 0.417 0.243
0.189 0.564 0.911
0.969 0.776 0.946
0.601 0.160 0.994
0.811 0.436 0.089
0.031 0.224 0.054
0.689 0.936 0.589
0.327 0.518 0.395
0.101 0.340 0.506
0.311 0.064 0.411
0.469 0.724 0.554
0.399 0.840 0.006
0.531 0.276 0.446
0.924 0.583 0.757
0.576 0.083 0.257
0.173 0.018 0.895
0.673 0.482 0.605
0.827 0.982 0.105
0.899 0.660 0.494
0.908 0.100 0.372
0.592 0.600 0.872
0.408 0.400 0.128
0.092 0.900 0.628
0.814 0.184 0.761
0.186 0.816 0.239
0.686 0.684 0.261
0.314 0.316 0.739
```

Output
* E_form (uncorrected): -2.952 eV/atom
* crystal system: monoclinic
* symmetry: P2_1/c
* size of the total moment: 0.000 μB per atom

---

Entry 11:
A PBEsol-optimized structure of BeCd3Sb, computed with SCAN.

Geometry as POSCAR:
```
BeCd3Sb
1.0
-0.555 2.951 -3.670
2.766 -2.786 -2.658
-3.811 -2.451 -1.395
Cd Be Sb
3 1 1
Direct
0.500 0.000 0.000
0.000 0.500 0.000
0.000 0.000 0.500
0.000 0.000 0.000
0.500 0.500 0.500
```

Output
* E_form (uncorrected): 0.386 eV/atom
* crystal system: cubic
* symmetry: Pm-3m
* size of the total moment: 0.000 μB per atom

---

Entry 12:
A PBEsol-optimized structure of TaTeBr, computed with SCAN.

Geometry as POSCAR:
```
TaTeBr
1.0
-2.517 0.899 -1.841
-0.547 -2.390 2.125
-0.486 5.897 5.132
Te Ta Br
1 1 1
Direct
0.306 0.306 0.612
0.663 0.663 0.327
0.031 0.031 0.061
```

Output
* relative energy among the computed polymorphs: 274 meV per atom
* E_form (uncorrected): 0.078 eV/atom
* crystal system: orthorhombic
* symmetry: Fmm2
* size of the total moment: 0.000 μB per atom

---

What did the fifth record say?
A PBEsol-optimized structure of FeRu2Cl, computed with SCAN.

Geometry as POSCAR:
```
FeRu2Cl
1.0
2.771 0.000 0.000
0.000 4.387 0.000
-1.386 -2.193 4.349
Cl Ru Fe
1 2 1
Direct
0.500 0.000 0.000
0.774 0.774 0.548
0.226 0.226 0.452
0.000 0.500 0.000
```

Output
* relative energy among the computed polymorphs: 373 meV per atom
* E_form (uncorrected): 0.670 eV/atom
* crystal system: orthorhombic
* symmetry: Immm
* size of the total moment: 0.837 μB per atom